No. 1
# Tb3DyY6Sc2 | Alexandria via LeMat-Bulk | GGA-PBE | relaxed
data_Tb3DyY6Sc2
_space_group_name_H-M_alt 'P 1'
_space_group_IT_number 1
_cell_length_a 6.096
_cell_length_b 6.096
_cell_length_c 11.636
_cell_angle_alpha 95.00
_cell_angle_beta 95.00
_cell_angle_gamma 119.95
loop_
_space_group_symop_operation_xyz
'x,y,z'
loop_
_atom_site_label
_atom_site_fract_x
_atom_site_fract_y
_atom_site_fract_z
_atom_site_occupancy
Y1 0.582 0.918 0.756 1
Y2 0.746 0.746 0.244 1
Y3 0.082 0.418 0.244 1
Y4 0.254 0.254 0.756 1
Y5 0.418 0.082 0.244 1
Y6 0.918 0.582 0.756 1
Sc1 0.333 0.667 0.000 1
Sc2 0.667 0.333 0.000 1
Dy1 0.000 0.000 0.000 1
Tb1 0.833 0.167 0.500 1
Tb2 0.500 0.500 0.500 1
Tb3 0.167 0.833 0.500 1
# SG: C2/m, No. 12
# Energy relative to the elements, meV/atom: 42
# Electronic total energy, Ha/atom: -0.2126
# Magnetization, μB per cell: 0.000


No. 2
# KSb3H | Alexandria via LeMat-Bulk | GGA-PBE | relaxed
data_KSb3H
_space_group_name_H-M_alt 'P 1'
_space_group_IT_number 1
_cell_length_a 6.015
_cell_length_b 6.015
_cell_length_c 6.015
_cell_angle_alpha 90.00
_cell_angle_beta 90.00
_cell_angle_gamma 90.00
loop_
_space_group_symop_operation_xyz
'x,y,z'
loop_
_atom_site_label
_atom_site_fract_x
_atom_site_fract_y
_atom_site_fract_z
_atom_site_occupancy
H1 0.500 0.500 0.500 1
K1 0.000 0.000 0.000 1
Sb1 0.000 0.500 0.000 1
Sb2 0.000 0.000 0.500 1
Sb3 0.500 0.000 0.000 1
# SG: Pm-3m, No. 221
# Electronic total energy, Ha/atom: -0.0637
# Magnetization, μB per cell: 1.038


No. 3
# Pu4HPb2 | Alexandria via LeMat-Bulk | GGA-PBE | relaxed
data_Pu4HPb2
_space_group_name_H-M_alt 'P 1'
_space_group_IT_number 1
_cell_length_a 4.698
_cell_length_b 4.698
_cell_length_c 8.885
_cell_angle_alpha 105.33
_cell_angle_beta 105.33
_cell_angle_gamma 90.00
loop_
_space_group_symop_operation_xyz
'x,y,z'
loop_
_atom_site_label
_atom_site_fract_x
_atom_site_fract_y
_atom_site_fract_z
_atom_site_occupancy
Pu1 0.837 0.837 0.674 1
Pu2 0.500 0.000 0.000 1
Pu3 0.163 0.163 0.326 1
Pu4 0.000 0.500 0.000 1
Pb1 0.643 0.643 0.285 1
Pb2 0.357 0.357 0.715 1
H1 0.000 0.000 0.000 1
# SG: I4/mmm, No. 139
# Electronic total energy, Ha/atom: -0.3610
# Magnetization, μB per cell: 23.294


No. 4
# SmTm8In2 | Alexandria via LeMat-Bulk | GGA-PBE | relaxed
data_SmTm8In2
_space_group_name_H-M_alt 'P 1'
_space_group_IT_number 1
_cell_length_a 5.269
_cell_length_b 9.926
_cell_length_c 9.926
_cell_angle_alpha 39.80
_cell_angle_beta 92.70
_cell_angle_gamma 92.70
loop_
_space_group_symop_operation_xyz
'x,y,z'
loop_
_atom_site_label
_atom_site_fract_x
_atom_site_fract_y
_atom_site_fract_z
_atom_site_occupancy
Tm1 0.267 0.126 0.606 1
Tm2 0.733 0.394 0.874 1
Tm3 0.236 0.197 0.197 1
Tm4 0.240 0.548 0.548 1
Tm5 0.760 0.452 0.452 1
Tm6 0.764 0.803 0.803 1
Tm7 0.733 0.874 0.394 1
Tm8 0.267 0.606 0.126 1
In1 0.754 0.287 0.287 1
In2 0.246 0.713 0.713 1
Sm1 0.000 0.000 0.000 1
# SG: C2/m, No. 12
# Energy relative to the elements, meV/atom: -41
# Electronic total energy, Ha/atom: -0.1551
# Magnetization, μB per cell: 0.001


No. 5
# Li2ReNi | Alexandria via LeMat-Bulk | GGA-PBE | relaxed
data_Li2ReNi
_space_group_name_H-M_alt 'P 1'
_space_group_IT_number 1
_cell_length_a 4.088
_cell_length_b 4.088
_cell_length_c 4.088
_cell_angle_alpha 60.00
_cell_angle_beta 60.00
_cell_angle_gamma 60.00
loop_
_space_group_symop_operation_xyz
'x,y,z'
loop_
_atom_site_label
_atom_site_fract_x
_atom_site_fract_y
_atom_site_fract_z
_atom_site_occupancy
Li1 0.250 0.250 0.250 1
Li2 0.750 0.750 0.750 1
Ni1 0.000 0.000 0.000 1
Re1 0.500 0.500 0.500 1
# SG: Fm-3m, No. 225
# Energy relative to the elements, meV/atom: 771
# Electronic total energy, Ha/atom: -0.1743
# Magnetization, μB per cell: 1.838


No. 6
# RbCdMo3 | Alexandria via LeMat-Bulk | GGA-PBE | relaxed
data_RbCdMo3
_space_group_name_H-M_alt 'P 1'
_space_group_IT_number 1
_cell_length_a 4.718
_cell_length_b 4.718
_cell_length_c 4.718
_cell_angle_alpha 90.00
_cell_angle_beta 90.00
_cell_angle_gamma 90.00
loop_
_space_group_symop_operation_xyz
'x,y,z'
loop_
_atom_site_label
_atom_site_fract_x
_atom_site_fract_y
_atom_site_fract_z
_atom_site_occupancy
Mo1 0.000 0.000 0.500 1
Mo2 0.000 0.500 0.000 1
Mo3 0.500 0.000 0.000 1
Cd1 0.500 0.500 0.500 1
Rb1 0.000 0.000 0.000 1
# SG: Pm-3m, No. 221
# Energy relative to the elements, meV/atom: 3084
# Electronic total energy, Ha/atom: -0.1393
# Magnetization, μB per cell: 0.000


No. 7
# TlSi2Ge2 | Alexandria via LeMat-Bulk | GGA-PBE | relaxed
data_TlSi2Ge2
_space_group_name_H-M_alt 'P 1'
_space_group_IT_number 1
_cell_length_a 4.758
_cell_length_b 4.758
_cell_length_c 5.699
_cell_angle_alpha 65.33
_cell_angle_beta 65.33
_cell_angle_gamma 90.00
loop_
_space_group_symop_operation_xyz
'x,y,z'
loop_
_atom_site_label
_atom_site_fract_x
_atom_site_fract_y
_atom_site_fract_z
_atom_site_occupancy
Tl1 0.000 0.000 0.000 1
Ge1 0.750 0.250 0.500 1
Ge2 0.250 0.750 0.500 1
Si1 0.368 0.368 0.263 1
Si2 0.632 0.632 0.737 1
# SG: I4/mmm, No. 139
# Electronic total energy, Ha/atom: -0.1568
# Raw formation energy, meV/atom: 222
# Magnetization, μB per cell: 0.000


No. 8
# PuCdCo | Alexandria via LeMat-Bulk | GGA-PBE | relaxed
data_PuCdCo
_space_group_name_H-M_alt 'P 1'
_space_group_IT_number 1
_cell_length_a 3.126
_cell_length_b 3.126
_cell_length_c 6.351
_cell_angle_alpha 104.25
_cell_angle_beta 104.25
_cell_angle_gamma 90.00
loop_
_space_group_symop_operation_xyz
'x,y,z'
loop_
_atom_site_label
_atom_site_fract_x
_atom_site_fract_y
_atom_site_fract_z
_atom_site_occupancy
Pu1 0.308 0.308 0.615 1
Co1 0.668 0.668 0.336 1
Cd1 0.024 0.024 0.049 1
# SG: I4mm, No. 107
# Energy relative to the elements, meV/atom: 94
# Electronic total energy, Ha/atom: -0.2704
# Magnetization, μB per cell: 4.423


No. 9
# SrZrOF2 | Alexandria via LeMat-Bulk | GGA-PBE | relaxed
data_SrZrOF2
_space_group_name_H-M_alt 'P 1'
_space_group_IT_number 1
_cell_length_a 4.555
_cell_length_b 4.555
_cell_length_c 4.193
_cell_angle_alpha 90.00
_cell_angle_beta 90.00
_cell_angle_gamma 90.00
loop_
_space_group_symop_operation_xyz
'x,y,z'
loop_
_atom_site_label
_atom_site_fract_x
_atom_site_fract_y
_atom_site_fract_z
_atom_site_occupancy
F1 0.000 0.500 0.000 1
F2 0.500 0.000 0.000 1
O1 0.000 0.000 0.500 1
Zr1 0.000 0.000 0.000 1
Sr1 0.500 0.500 0.500 1
# SG: P4/mmm, No. 123
# Electronic total energy, Ha/atom: -0.2349
# Raw formation energy, meV/atom: -2606
# Magnetization, μB per cell: 1.561


No. 10
# CaGa8Tc4 | Alexandria via LeMat-Bulk | GGA-PBE | relaxed
data_CaGa8Tc4
_space_group_name_H-M_alt 'P 1'
_space_group_IT_number 1
_cell_length_a 5.284
_cell_length_b 6.919
_cell_length_c 6.919
_cell_angle_alpha 81.61
_cell_angle_beta 67.55
_cell_angle_gamma 67.55
loop_
_space_group_symop_operation_xyz
'x,y,z'
loop_
_atom_site_label
_atom_site_fract_x
_atom_site_fract_y
_atom_site_fract_z
_atom_site_occupancy
Ca1 0.000 0.000 0.000 1
Ga1 0.274 0.226 0.226 1
Ga2 0.000 0.658 0.342 1
Ga3 0.500 0.774 0.226 1
Ga4 0.726 0.774 0.774 1
Ga5 0.342 0.658 0.658 1
Ga6 0.658 0.342 0.342 1
Ga7 0.000 0.342 0.658 1
Ga8 0.500 0.226 0.774 1
Tc1 0.500 0.500 0.000 1
Tc2 0.500 0.000 0.500 1
Tc3 0.000 0.500 0.000 1
Tc4 0.000 0.000 0.500 1
# SG: I4/mmm, No. 139
# Energy relative to the elements, meV/atom: -229
# Electronic total energy, Ha/atom: -0.1997
# Magnetization, μB per cell: 0.000


No. 11
# Ba3GaP3 | Alexandria via LeMat-Bulk | GGA-PBE | relaxed
data_Ba3GaP3
_space_group_name_H-M_alt 'P 1'
_space_group_IT_number 1
_cell_length_a 10.398
_cell_length_b 10.398
_cell_length_c 13.125
_cell_angle_alpha 90.00
_cell_angle_beta 90.00
_cell_angle_gamma 142.03
loop_
_space_group_symop_operation_xyz
'x,y,z'
loop_
_atom_site_label
_atom_site_fract_x
_atom_site_fract_y
_atom_site_fract_z
_atom_site_occupancy
Ga1 0.916 0.084 0.000 1
Ga2 0.416 0.584 0.500 1
Ga3 0.084 0.916 0.000 1
Ga4 0.584 0.416 0.500 1
Ba1 0.867 0.515 0.130 1
Ba2 0.515 0.867 0.130 1
Ba3 0.829 0.829 0.349 1
Ba4 0.329 0.329 0.151 1
Ba5 0.985 0.633 0.630 1
Ba6 0.133 0.485 0.870 1
Ba7 0.485 0.133 0.870 1
Ba8 0.015 0.367 0.370 1
Ba9 0.171 0.171 0.651 1
Ba10 0.633 0.985 0.630 1
Ba11 0.671 0.671 0.849 1
Ba12 0.367 0.015 0.370 1
P1 0.803 0.803 0.095 1
P2 0.464 0.151 0.617 1
P3 0.197 0.197 0.905 1
P4 0.349 0.036 0.117 1
P5 0.036 0.349 0.117 1
P6 0.849 0.536 0.383 1
P7 0.697 0.697 0.595 1
P8 0.651 0.964 0.883 1
P9 0.964 0.651 0.883 1
P10 0.303 0.303 0.405 1
P11 0.536 0.849 0.383 1
P12 0.151 0.464 0.617 1
# SG: Cmce, No. 64
# Energy relative to the elements, meV/atom: -948
# Electronic total energy, Ha/atom: -0.1662
# Magnetization, μB per cell: 0.000


No. 12
# MoPt2 | Alexandria via LeMat-Bulk | GGA-PBE | relaxed
data_MoPt2
_space_group_name_H-M_alt 'P 1'
_space_group_IT_number 1
_cell_length_a 6.350
_cell_length_b 6.350
_cell_length_c 6.350
_cell_angle_alpha 154.72
_cell_angle_beta 154.72
_cell_angle_gamma 36.05
loop_
_space_group_symop_operation_xyz
'x,y,z'
loop_
_atom_site_label
_atom_site_fract_x
_atom_site_fract_y
_atom_site_fract_z
_atom_site_occupancy
Mo1 0.500 0.500 0.000 1
Pt1 0.160 0.160 0.000 1
Pt2 0.840 0.840 0.000 1
# SG: I4/mmm, No. 139
# Energy relative to the elements, meV/atom: -347
# Electronic total energy, Ha/atom: -0.2934
# Magnetization, μB per cell: 0.000